A geometry-optimized DyNpMoO6 structure, computed with PBE with a Hubbard U.

Volume: 13.8 Å³ per atom
Total magnetization: 8.00 Bohr magnetons per cell
Raw total energy: -8.651 eV/atom
Symmetry: P-31c (163)

Cell: 5.6730 5.6730 8.8978 Å, 90.00 90.00 120.00°
Closest atoms and distances in Å follow each position.
Sites, in units of the cell vectors:
Dy: 0.3333 0.6667 0.2500  6 O 2.28
Dy: 0.6667 0.3333 0.7500  6 O 2.28
Np: 0.3333 0.6667 0.7500  6 O 2.09
Np: 0.6667 0.3333 0.2500  6 O 2.09
Mo: 0.0000 0.0000 0.0000  6 O 2.21
Mo: 0.0000 0.0000 0.5000  6 O 2.21
O: 0.0260 0.3457 0.6278  1 Np 2.09, 1 Mo 2.21, 1 Dy 2.28
O: 0.0260 0.6804 0.8722  1 Np 2.09, 1 Mo 2.21, 1 Dy 2.28
O: 0.3196 0.3457 0.8722  1 Np 2.09, 1 Mo 2.21, 1 Dy 2.28
O: 0.3196 0.9740 0.6278  1 Np 2.09, 1 Mo 2.21, 1 Dy 2.28
O: 0.3457 0.0260 0.1278  1 Np 2.09, 1 Mo 2.21, 1 Dy 2.28
O: 0.3457 0.3196 0.3722  1 Np 2.09, 1 Mo 2.21, 1 Dy 2.28
O: 0.6543 0.6804 0.6278  1 Np 2.09, 1 Mo 2.21, 1 Dy 2.28
O: 0.6543 0.9740 0.8722  1 Np 2.09, 1 Mo 2.21, 1 Dy 2.28
O: 0.6804 0.0260 0.3722  1 Np 2.09, 1 Mo 2.21, 1 Dy 2.28
O: 0.6804 0.6543 0.1278  1 Np 2.09, 1 Mo 2.21, 1 Dy 2.28
O: 0.9740 0.3196 0.1278  1 Np 2.09, 1 Mo 2.21, 1 Dy 2.28
O: 0.9740 0.6543 0.3722  1 Np 2.09, 1 Mo 2.21, 1 Dy 2.28